# CrOs4 | the Alexandria database | PBE | optimized geometry
data_CrOs4
_chemical_formula_sum 'Cr1 Os4'
_symmetry_space_group_name_H-M 'P m -3 m'
_symmetry_Int_Tables_number 221
_symmetry_space_group_name_Hall '-P 4 2 3'
_cell_length_a 4.365
_cell_length_b 4.365
_cell_length_c 4.365
_cell_angle_alpha 90.00
_cell_angle_beta 90.00
_cell_angle_gamma 90.00
loop_
_atom_site_label
_atom_site_fract_x
_atom_site_fract_y
_atom_site_fract_z
_atom_site_occupancy
Cr1 0.000 0.000 0.000 1
Os1 0.000 0.000 0.500 1
Os2 0.500 0.500 0.500 1
# Crystal system: cubic
# ΔE to the lowest computed polymorph: 1895 meV per atom

# CrPOs2 | the Alexandria database | PBE | optimized geometry
data_CrPOs2
_chemical_formula_sum 'Cr2 P2 Os4'
_symmetry_space_group_name_H-M 'I m m m'
_symmetry_Int_Tables_number 71
_symmetry_space_group_name_Hall '-I 2 2'
_cell_length_a 2.828
_cell_length_b 4.270
_cell_length_c 8.803
_cell_angle_alpha 90.00
_cell_angle_beta 90.00
_cell_angle_gamma 90.00
loop_
_atom_site_label
_atom_site_fract_x
_atom_site_fract_y
_atom_site_fract_z
_atom_site_occupancy
Cr1 0.000 0.000 0.000 1
P1 0.000 0.000 0.500 1
Os1 0.000 0.500 0.213 1
# Crystal system: orthorhombic

# CrPOs2 | the Alexandria database | PBE | optimized geometry
data_CrPOs2
_chemical_formula_sum 'Cr1 P1 Os2'
_symmetry_space_group_name_H-M 'P m m 2'
_symmetry_Int_Tables_number 25
_cell_length_a 2.837
_cell_length_b 3.679
_cell_length_c 5.144
_cell_angle_alpha 90.00
_cell_angle_beta 90.00
_cell_angle_gamma 90.00
loop_
_symmetry_equiv_pos_as_xyz
'x,y,z'
'-x,-y,z'
'-x,y,z'
'x,-y,z'
loop_
_atom_site_label
_atom_site_fract_x
_atom_site_fract_y
_atom_site_fract_z
_atom_site_occupancy
Cr1 0.000 0.000 0.000 1
P1 0.500 0.500 0.712 1
Os1 0.000 0.000 0.528 1
Os2 0.500 0.500 0.183 1
# Crystal system: orthorhombic

# CrP2Os | the Alexandria database | PBE | optimized geometry
data_CrP2Os
_chemical_formula_sum 'Cr4 P8 Os4'
_symmetry_space_group_name_H-M 'I -4 2 d'
_symmetry_Int_Tables_number 122
_symmetry_space_group_name_Hall 'I -4 2bw'
_cell_length_a 5.217
_cell_length_b 5.217
_cell_length_c 10.806
_cell_angle_alpha 90.00
_cell_angle_beta 90.00
_cell_angle_gamma 90.00
loop_
_atom_site_label
_atom_site_fract_x
_atom_site_fract_y
_atom_site_fract_z
_atom_site_occupancy
Cr1 0.000 0.000 0.000 1
P1 0.241 0.250 0.625 1
Os1 0.000 0.000 0.500 1
# Crystal system: tetragonal
# ΔE to the lowest computed polymorph: 329 meV per atom

# CrP2Os | the Alexandria database | PBE | optimized geometry
data_CrP2Os
_chemical_formula_sum 'Cr3 P6 Os3'
_symmetry_space_group_name_H-M 'R 3 m'
_symmetry_Int_Tables_number 160
_symmetry_space_group_name_Hall 'R 3 -2"'
_cell_length_a 2.9267
_cell_length_b 2.9267
_cell_length_c 21.5925
_cell_angle_alpha 90.00
_cell_angle_beta 90.00
_cell_angle_gamma 120.00
loop_
_atom_site_label
_atom_site_fract_x
_atom_site_fract_y
_atom_site_fract_z
_atom_site_occupancy
Cr1 0.0000 0.0000 0.0000 1
P1 0.0000 0.0000 0.2625 1
P2 0.0000 0.0000 0.5075 1
Os1 0.0000 0.0000 0.7650 1
# Crystal system: trigonal
# ΔE to the lowest computed polymorph: 288 meV per atom

# Cr2POs | the Alexandria database | PBE | optimized geometry
data_Cr2POs
_chemical_formula_sum 'Cr2 P1 Os1'
_symmetry_space_group_name_H-M 'P 4/m m m'
_symmetry_Int_Tables_number 123
_symmetry_space_group_name_Hall '-P 4 2'
_cell_length_a 2.749
_cell_length_b 2.749
_cell_length_c 6.424
_cell_angle_alpha 90.00
_cell_angle_beta 90.00
_cell_angle_gamma 90.00
loop_
_atom_site_label
_atom_site_fract_x
_atom_site_fract_y
_atom_site_fract_z
_atom_site_occupancy
Cr1 0.000 0.000 0.221 1
P1 0.500 0.500 0.000 1
Os1 0.500 0.500 0.500 1
# Crystal system: tetragonal

Table of energy relative to the elements (eV per atom), in record order: 2.01, 0.00, 0.14, 0.06, 0.02, -0.14